*one*
The following is a DFT calculation (PBE) of LaSc2B2 after structural relaxation.

Unit cell a=4.1190 b=4.1190 c=10.3680 alpha=90.00 beta=90.00 gamma=90.00
With the nearest neighbours (Å) after each atom.
Element x y z (fractional)
La (0.0000, 0.0000, 0.0000)  8 B 3.04, 8 Sc 3.31
La (0.5000, 0.5000, 0.5000)  8 B 3.04, 8 Sc 3.31
Sc (0.0000, 0.5000, 0.2500)  4 B 2.69, 4 Sc 2.91
Sc (0.0000, 0.5000, 0.7500)  4 B 2.69, 4 Sc 2.91
Sc (0.5000, 0.0000, 0.2500)  4 B 2.69, 4 Sc 2.91
Sc (0.5000, 0.0000, 0.7500)  4 B 2.69, 4 Sc 2.91
B (0.0000, 0.0000, 0.4176)  1 B 1.71
B (0.0000, 0.0000, 0.5824)  1 B 1.71
B (0.5000, 0.5000, 0.0824)  1 B 1.71
B (0.5000, 0.5000, 0.9176)  1 B 1.71

Properties
- Symmetry: No. 139
- Volume: 17.59 Å³/atom


*two*
The following is a DFT calculation (PBE) of LaSc2B2 after structural relaxation.

Unit cell a=4.3612 b=4.3612 c=10.3491 alpha=90.00 beta=90.00 gamma=90.00
With the nearest neighbours (Å) after each atom.
Element x y z (fractional)
La (0.0000, 0.0000, 0.0000)  8 B 3.38, 10 Sc 3.44-3.54
La (0.5000, 0.5000, 0.5000)  8 B 3.38, 10 Sc 3.44-3.54
Sc (0.0000, 0.0000, 0.3323)  4 B 2.34
Sc (0.0000, 0.0000, 0.6677)  4 B 2.34
Sc (0.5000, 0.5000, 0.1677)  4 B 2.34
Sc (0.5000, 0.5000, 0.8323)  4 B 2.34
B (0.0000, 0.5000, 0.2500)  4 Sc 2.34
B (0.0000, 0.5000, 0.7500)  4 Sc 2.34
B (0.5000, 0.0000, 0.2500)  4 Sc 2.34
B (0.5000, 0.0000, 0.7500)  4 Sc 2.34

Properties
- Symmetry: No. 139
- Volume: 19.68 Å³/atom


*three*
The following is a DFT calculation (PBE) of LaSc2B2 after structural relaxation.

Unit cell a=7.4698 b=7.4698 c=3.1563 alpha=90.00 beta=90.00 gamma=90.00
With the nearest neighbours (Å) after each atom.
Element x y z (fractional)
La (0.0000, 0.0000, 0.0000)  4 B 2.79
La (0.5000, 0.5000, 0.0000)  4 B 2.79
Sc (0.1404, 0.3597, 0.5000)  6 B 2.60-2.77
Sc (0.3597, 0.8596, 0.5000)  6 B 2.60-2.77
Sc (0.6404, 0.1404, 0.5000)  6 B 2.60-2.77
Sc (0.8596, 0.6404, 0.5000)  6 B 2.60-2.77
B (0.1639, 0.6639, 0.0000)  6 Sc 2.60-2.77, 2 La 2.79
B (0.3361, 0.1639, 0.0000)  6 Sc 2.60-2.77, 2 La 2.79
B (0.6639, 0.8361, 0.0000)  6 Sc 2.60-2.77, 2 La 2.79
B (0.8361, 0.3361, 0.0000)  6 Sc 2.60-2.77, 2 La 2.79

Properties
- Symmetry: No. 127
- Volume: 17.61 Å³/atom


Among the structures shown above, *one* is the most stable, with the second-best lying 13.2 kJ/mol of atoms higher.